Record 1
DFT (PBE-GGA) results for crystalline La3SbAs2 at its relaxed geometry.

Cell: 4.4481 6.3235 13.3982 Å, 90.00 90.00 90.00°
Sites, in units of the cell vectors:
La 0.0000 0.0000 0.0000
La 0.0000 0.0000 0.3239
La 0.0000 0.0000 0.6761
La 0.5000 0.5000 0.1761
La 0.5000 0.5000 0.5000
La 0.5000 0.5000 0.8239
Sb 0.0000 0.5000 0.0000
Sb 0.5000 0.0000 0.5000
As 0.0000 0.5000 0.3352
As 0.0000 0.5000 0.6648
As 0.5000 0.0000 0.1648
As 0.5000 0.0000 0.8352

Calculated values
The calculation puts the raw formation energy at -1.4548 eV per atom. The value obtained for the density of states at the Fermi level is 0.140 states/eV per atom.

Record 2
DFT (PBE-GGA) results for crystalline ScAgPt2 at its relaxed geometry.

Cell: 7.2917 7.2917 5.6062 Å, 90.00 90.00 90.00°
Sites, in units of the cell vectors:
Sc 0.0000 0.0000 0.0000
Sc 0.0000 0.5000 0.2500
Sc 0.5000 0.0000 0.7500
Sc 0.5000 0.5000 0.5000
Ag 0.0000 0.0000 0.5000
Ag 0.0000 0.5000 0.7500
Ag 0.5000 0.0000 0.2500
Ag 0.5000 0.5000 0.0000
Pt 0.2377 0.7500 0.1250
Pt 0.2500 0.2377 0.8750
Pt 0.2500 0.2623 0.3750
Pt 0.2623 0.7500 0.6250
Pt 0.7377 0.2500 0.6250
Pt 0.7500 0.7377 0.3750
Pt 0.7500 0.7623 0.8750
Pt 0.7623 0.2500 0.1250

Calculated values
The formation energy comes out at -40.5 kJ/mol of atoms. The value obtained for the density of states at the Fermi level is 0.188 states/eV per atom.

Record 3
DFT (PBE-GGA) results for crystalline PmSiHg2 at its relaxed geometry.

Cell: 4.3332 4.3332 4.9342 Å, 90.00 90.00 90.00°
Sites, in units of the cell vectors:
Pm 0.0000 0.0000 0.0000
Si 0.5000 0.5000 0.0000
Hg 0.0000 0.5000 0.5000
Hg 0.5000 0.0000 0.5000

Calculated values
The calculation puts the raw formation energy at -0.2918 eV per atom. The value obtained for the density of states at the Fermi level is 0.352 states/eV per atom.